# 1
Entry from Alexandria: a relaxed Nb2WAu crystal (PBE-GGA).

a = 5.914 Å, b = 5.914 Å, c = 5.914 Å
α = 102.87°, β = 102.87°, γ = 123.69°
Element x y z (fractional)
1 Nb 0.114 0.625 0.989
2 Nb 0.375 0.364 0.489
3 Nb 0.636 0.125 0.011
4 Nb 0.875 0.886 0.511
5 W 0.000 0.000 0.000
6 W 0.750 0.250 0.500
7 Au 0.250 0.750 0.500
8 Au 0.500 0.500 0.000

Values from the calculation:
The calculation puts the total DFT energy (no corrections) at -8.456 eV per atom. The formation energy is 0.636 eV/atom. The value obtained for the calculated volume is 18.97 A^3/atom. Its symmetry is No. 122. The polymorph energy (0 for the lowest one) is 712 meV per atom.



# 2
Entry from Alexandria: a relaxed Nb3WAu crystal (PBE-GGA).

a = 4.873 Å, b = 4.873 Å, c = 4.873 Å
α = 90.00°, β = 90.00°, γ = 90.00°
Element x y z (fractional)
1 Nb 0.000 0.000 0.500
2 Nb 0.000 0.500 0.000
3 Nb 0.500 0.000 0.000
4 W 0.500 0.500 0.500
5 Au 0.000 0.000 0.000

Values from the calculation:
The calculation puts the total DFT energy (no corrections) at -7.269 eV per atom. The formation energy is 2.019 eV/atom. The value obtained for the calculated volume is 23.14 A^3/atom. Its symmetry is No. 221. The polymorph energy (0 for the lowest one) is 712 meV per atom.



# 3
Entry from Alexandria: a relaxed NbWAu2 crystal (PBE-GGA).

a = 5.937 Å, b = 5.937 Å, c = 5.937 Å
α = 101.88°, β = 101.88°, γ = 126.04°
Element x y z (fractional)
1 Nb 0.000 0.000 0.000
2 Nb 0.750 0.250 0.500
3 W 0.250 0.750 0.500
4 W 0.500 0.500 0.000
5 Au 0.136 0.625 0.011
6 Au 0.375 0.386 0.511
7 Au 0.614 0.125 0.989
8 Au 0.875 0.864 0.489

Values from the calculation:
The calculation puts the total DFT energy (no corrections) at -6.709 eV per atom. The formation energy is 0.686 eV/atom. The value obtained for the calculated volume is 18.85 A^3/atom. Its symmetry is No. 122. The polymorph energy (0 for the lowest one) is 205 meV per atom.